Entry w
Compound: RbMo3S
Source: Alexandria via LeMat-Bulk
Functional: PBE
Structure: optimized geometry

Cell lengths 4.7281, 4.7281, 4.7281 Å; angles 90.00, 90.00, 90.00 degrees
Last column: nearest neighbours and their distance in Å.
Fractional coordinates of all 5 atoms:
Mo  0.0000  0.0000  0.5000  2 Rb 2.36
Mo  0.5000  0.0000  0.0000  2 Rb 2.36
Mo  0.0000  0.5000  0.0000  2 Rb 2.36
S  0.5000  0.5000  0.5000  12 Mo 3.34
Rb  0.0000  0.0000  0.0000  6 Mo 2.36

Output
Space-group type: No. 221
N(E_F) (states/eV/f.u.): 8.41
Mass density (g/cm3): 6.37



Entry x
Compound: RbMo3S
Source: Alexandria via LeMat-Bulk
Functional: PBE
Structure: optimized geometry

Cell lengths 4.6452, 4.6452, 4.6452 Å; angles 90.00, 90.00, 90.00 degrees
Last column: nearest neighbours and their distance in Å.
Fractional coordinates of all 5 atoms:
Mo  0.0000  0.5000  0.0000  2 S 2.32
Mo  0.5000  0.0000  0.0000  2 S 2.32
Mo  0.0000  0.0000  0.5000  2 S 2.32
S  0.0000  0.0000  0.0000  6 Mo 2.32
Rb  0.5000  0.5000  0.5000  12 Mo 3.28

Output
Space-group type: No. 221
N(E_F) (states/eV/f.u.): 5.62
Mass density (g/cm3): 6.72



Need the numbers? Relative energies in meV/atom: entry w 2256; entry x 0.



Entry w
Compound: RbMo2Se
Source: Alexandria via LeMat-Bulk
Functional: PBE
Structure: optimized geometry

Cell lengths 4.7901, 4.7901, 10.0093 Å; angles 76.16, 76.16, 90.00 degrees
Last column: nearest neighbours and their distance in Å.
Fractional coordinates of all 8 atoms:
Rb  0.0000  0.0000  0.0000  4 Se 3.39, 8 Mo 3.48-3.66
Rb  0.7500  0.2500  0.5000  4 Se 3.39, 8 Mo 3.48-3.66
Mo  0.8750  0.5971  0.7500  2 Mo 2.41, 2 Se 2.65
Mo  0.3471  0.1250  0.2500  2 Mo 2.41, 2 Se 2.65
Mo  0.3750  0.6529  0.7500  2 Mo 2.41, 2 Se 2.65
Mo  0.4029  0.6250  0.2500  2 Mo 2.41, 2 Se 2.65
Se  0.5000  0.5000  0.0000  4 Mo 2.65
Se  0.2500  0.7500  0.5000  4 Mo 2.65

Output
Space-group type: No. 122
N(E_F) (states/eV/f.u.): 4.45
Mass density (g/cm3): 5.48



Entry x
Compound: RbMo2Se
Source: Alexandria via LeMat-Bulk
Functional: PBE
Structure: optimized geometry

Cell lengths 4.7053, 4.7053, 4.7053 Å; angles 60.00, 60.00, 60.00 degrees
Last column: nearest neighbours and their distance in Å.
Fractional coordinates of all 4 atoms:
Mo  0.2500  0.2500  0.2500  4 Se 2.88, 4 Rb 2.88
Mo  0.7500  0.7500  0.7500  4 Se 2.88, 4 Rb 2.88
Se  0.0000  0.0000  0.0000  8 Mo 2.88
Rb  0.5000  0.5000  0.5000  8 Mo 2.88

Output
Space-group type: No. 225
N(E_F) (states/eV/f.u.): 5.47
Mass density (g/cm3): 8.03



Need the numbers? Relative energies in meV/atom: entry w 0; entry x 798.



Entry w
Compound: RbSi2Mo
Source: Alexandria via LeMat-Bulk
Functional: PBE
Structure: optimized geometry

Cell lengths 4.8493, 4.8493, 4.8493 Å; angles 60.00, 60.00, 60.00 degrees
Last column: nearest neighbours and their distance in Å.
Fractional coordinates of all 4 atoms:
Mo  0.5000  0.5000  0.5000  8 Si 2.97
Si  0.7500  0.7500  0.7500  4 Mo 2.97, 4 Rb 2.97
Si  0.2500  0.2500  0.2500  4 Mo 2.97, 4 Rb 2.97
Rb  0.0000  0.0000  0.0000  8 Si 2.97

Output
Space-group type: No. 225
N(E_F) (states/eV/f.u.): 2.87
Mass density (g/cm3): 4.89



Entry x
Compound: RbSi2Mo
Source: Alexandria via LeMat-Bulk
Functional: PBE
Structure: optimized geometry

Cell lengths 6.0125, 6.0125, 8.4604 Å; angles 69.19, 69.19, 90.00 degrees
Last column: nearest neighbours and their distance in Å.
Fractional coordinates of all 8 atoms:
Si  0.3750  0.1251  0.7500  2 Mo 2.37
Si  0.8751  0.6250  0.2500  2 Mo 2.37
Si  0.8749  0.1250  0.2500  2 Mo 2.37
Si  0.8750  0.1249  0.7500  2 Mo 2.37
Rb  0.2500  0.7500  0.5000  8 Si 3.83, 4 Mo 4.25
Rb  0.5000  0.5000  0.0000  8 Si 3.83, 4 Mo 4.25
Mo  0.0000  0.0000  0.0000  4 Si 2.37
Mo  0.7500  0.2500  0.5000  4 Si 2.37

Output
Space-group type: No. 141
N(E_F) (states/eV/f.u.): 2.20
Mass density (g/cm3): 2.98



Need the numbers? Relative energies in meV/atom: entry w 680; entry x 0.



Entry w
Compound: RbSn2Mo
Source: Alexandria via LeMat-Bulk
Functional: PBE
Structure: optimized geometry

Cell lengths 6.5643, 6.5643, 9.3760 Å; angles 69.51, 69.51, 90.00 degrees
Last column: nearest neighbours and their distance in Å.
Fractional coordinates of all 8 atoms:
Sn  0.8750  0.1250  0.7500  2 Mo 2.62
Sn  0.8750  0.6250  0.2500  2 Mo 2.62
Sn  0.8750  0.1250  0.2500  2 Mo 2.62
Sn  0.3750  0.1250  0.7500  2 Mo 2.62
Mo  0.0000  0.0000  0.0000  4 Sn 2.62
Mo  0.7500  0.2500  0.5000  4 Sn 2.62
Rb  0.2500  0.7500  0.5000  8 Sn 4.20, 4 Mo 4.64
Rb  0.5000  0.5000  0.0000  8 Sn 4.20, 4 Mo 4.64

Output
Space-group type: No. 141
N(E_F) (states/eV/f.u.): 1.78
Mass density (g/cm3): 3.96



Entry x
Compound: RbSn2Mo
Source: Alexandria via LeMat-Bulk
Functional: PBE
Structure: optimized geometry

Cell lengths 5.2666, 5.2666, 5.2666 Å; angles 60.00, 60.00, 60.00 degrees
Last column: nearest neighbours and their distance in Å.
Fractional coordinates of all 4 atoms:
Sn  0.2500  0.2500  0.2500  4 Mo 3.23, 4 Rb 3.23
Sn  0.7500  0.7500  0.7500  4 Rb 3.23, 4 Mo 3.23
Rb  0.0000  0.0000  0.0000  8 Sn 3.23
Mo  0.5000  0.5000  0.5000  8 Sn 3.23

Output
Space-group type: No. 225
N(E_F) (states/eV/f.u.): 3.23
Mass density (g/cm3): 6.73



Need the numbers? Relative energies in meV/atom: entry w 0; entry x 275.



Entry w
Compound: RbSrMo3
Source: Alexandria via LeMat-Bulk
Functional: PBE
Structure: optimized geometry

Cell lengths 5.5809, 5.5809, 5.5809 Å; angles 90.00, 90.00, 90.00 degrees
Last column: nearest neighbours and their distance in Å.
Fractional coordinates of all 5 atoms:
Rb  0.5000  0.5000  0.5000  12 Mo 3.95
Mo  0.0000  0.5000  0.0000  2 Sr 2.79
Mo  0.0000  0.0000  0.5000  2 Sr 2.79
Mo  0.5000  0.0000  0.0000  2 Sr 2.79
Sr  0.0000  0.0000  0.0000  6 Mo 2.79

Output
Space-group type: No. 221
N(E_F) (states/eV/f.u.): 9.07
Mass density (g/cm3): 4.40



Entry x
Compound: RbSrMo3
Source: Alexandria via LeMat-Bulk
Functional: PBE
Structure: optimized geometry

Cell lengths 4.9115, 4.9115, 4.9115 Å; angles 90.00, 90.00, 90.00 degrees
Last column: nearest neighbours and their distance in Å.
Fractional coordinates of all 5 atoms:
Mo  0.0000  0.5000  0.0000  2 Rb 2.46
Mo  0.0000  0.0000  0.5000  2 Rb 2.46
Mo  0.5000  0.0000  0.0000  2 Rb 2.46
Sr  0.5000  0.5000  0.5000  12 Mo 3.47
Rb  0.0000  0.0000  0.0000  6 Mo 2.46

Output
Space-group type: No. 221
N(E_F) (states/eV/f.u.): 8.56
Mass density (g/cm3): 6.46



Need the numbers? Relative energies in meV/atom: entry w 90; entry x 0.



Entry w
Compound: RbSr2Mo
Source: Alexandria via LeMat-Bulk
Functional: PBE
Structure: optimized geometry

Cell lengths 6.1161, 6.1161, 6.1161 Å; angles 60.00, 60.00, 60.00 degrees
Last column: nearest neighbours and their distance in Å.
Fractional coordinates of all 4 atoms:
Mo  0.5000  0.5000  0.5000  8 Sr 3.75
Sr  0.7500  0.7500  0.7500  4 Rb 3.75, 4 Mo 3.75
Sr  0.2500  0.2500  0.2500  4 Rb 3.75, 4 Mo 3.75
Rb  0.0000  0.0000  0.0000  8 Sr 3.75

Output
Space-group type: No. 225
N(E_F) (states/eV/f.u.): 4.40
Mass density (g/cm3): 3.66



Entry x
Compound: RbSr2Mo
Source: Alexandria via LeMat-Bulk
Functional: PBE
Structure: optimized geometry

Cell lengths 8.6853, 8.6853, 8.7009 Å; angles 60.06, 60.06, 90.00 degrees
Last column: nearest neighbours and their distance in Å.
Fractional coordinates of all 8 atoms:
Rb  0.2500  0.7500  0.5000  12 Sr 5.09-5.11, 4 Mo 5.32, 4 Rb 5.32
Rb  0.5000  0.5000  0.0000  12 Sr 5.09-5.11, 4 Rb 5.32, 4 Mo 5.32
Sr  0.8740  0.6250  0.2500  2 Mo 2.66
Sr  0.3750  0.1240  0.7500  2 Mo 2.66
Sr  0.8760  0.1250  0.2500  2 Mo 2.66
Sr  0.8750  0.1260  0.7500  2 Mo 2.66
Mo  0.7500  0.2500  0.5000  4 Sr 2.66
Mo  0.0000  0.0000  0.0000  4 Sr 2.66

Output
Space-group type: No. 122
N(E_F) (states/eV/f.u.): 5.15
Mass density (g/cm3): 2.55



Need the numbers? Relative energies in meV/atom: entry w 0; entry x 382.